a.
Material: BaAc2S4
Method: DFT, PBE-GGA
State: relaxed

V = 31.95 Å³ per atom

a = 4.3387 Å, b = 14.4338 Å, c = 14.2836 Å
α = 90.00°, β = 90.00°, γ = 90.00°
Space group Cmcm (No. 63)
Inequivalent atoms, fractional coordinates:
Ba 0.0000 0.1135 0.2500 [4 per cell]
Ac 0.0000 0.3672 0.0713 [8 per cell]
S 0.0000 0.0000 0.0000 [4 per cell]
S 0.0000 0.2682 0.6149 [8 per cell]
S 0.0000 0.4615 0.2500 [4 per cell]

b.
Material: BaAc2S4
Method: DFT, PBE-GGA
State: relaxed

V = 30.36 Å³ per atom

a = 12.3319 Å, b = 4.4611 Å, c = 15.4498 Å
α = 90.00°, β = 90.00°, γ = 90.00°
Space group Pnma (No. 62)
Inequivalent atoms, fractional coordinates:
Ba 0.2349 0.2500 0.1561 [4 per cell]
Ac 0.0611 0.7500 0.3881 [4 per cell]
Ac 0.1051 0.7500 0.8977 [4 per cell]
S 0.0076 0.7500 0.7178 [4 per cell]
S 0.0607 0.7500 0.0865 [4 per cell]
S 0.1520 0.2500 0.5081 [4 per cell]
S 0.2265 0.2500 0.8082 [4 per cell]

Best to worst by energy: b, a.

a.
Material: BaAcS
Method: DFT, PBE-GGA
State: relaxed

V = 51.68 Å³ per atom

a = 4.4615 Å, b = 8.4486 Å, c = 16.4534 Å
α = 90.00°, β = 90.00°, γ = 90.00°
Space group Immm (No. 71)
Inequivalent atoms, fractional coordinates:
Ba 0.0000 0.0000 0.2073 [4 per cell]
Ac 0.0000 0.2492 0.5000 [4 per cell]
S 0.0000 0.0000 0.3863 [4 per cell]

b.
Material: BaAcS
Method: DFT, PBE-GGA
State: relaxed

V = 40.31 Å³ per atom

a = 4.3052 Å, b = 4.3052 Å, c = 7.5349 Å
α = 90.00°, β = 90.00°, γ = 120.00°
Space group P3m1 (No. 156)
Inequivalent atoms, fractional coordinates:
Ba 0.0000 0.0000 0.0000 [1 per cell]
Ac 0.3333 0.6667 0.4918 [1 per cell]
S 0.6667 0.3333 0.2592 [1 per cell]

Best to worst by energy: b, a.

a.
Material: BaAcSb
Method: DFT, PBE-GGA
State: relaxed

V = 44.84 Å³ per atom

a = 4.2549 Å, b = 4.2549 Å, c = 14.8608 Å
α = 90.00°, β = 90.00°, γ = 90.00°
Space group I4mm (No. 107)
Inequivalent atoms, fractional coordinates:
Ba 0.0000 0.0000 0.0000 [2 per cell]
Ac 0.0000 0.0000 0.2535 [2 per cell]
Sb 0.0000 0.0000 0.6470 [2 per cell]

b.
Material: BaAcSb
Method: DFT, PBE-GGA
State: relaxed

V = 43.87 Å³ per atom

a = 5.5275 Å, b = 5.5275 Å, c = 4.9738 Å
α = 90.00°, β = 90.00°, γ = 120.00°
Space group P3m1 (No. 156)
Inequivalent atoms, fractional coordinates:
Ba 0.0000 0.0000 0.0000 [1 per cell]
Ac 0.6667 0.3333 0.4849 [1 per cell]
Sb 0.3333 0.6667 0.6127 [1 per cell]

c.
Material: BaAcSb
Method: DFT, PBE-GGA
State: relaxed

V = 43.42 Å³ per atom

a = 8.0470 Å, b = 8.0470 Å, c = 8.0470 Å
α = 90.00°, β = 90.00°, γ = 90.00°
Space group F-43m (No. 216)
Inequivalent atoms, fractional coordinates:
Ba 0.0000 0.0000 0.0000 [4 per cell]
Ac 0.0000 0.0000 0.5000 [4 per cell]
Sb 0.2500 0.2500 0.7500 [4 per cell]

Best to worst by energy: a, c, b.